[1]
Th2Zn3Ru2 | PBE | optimized geometry

Cell: 5.259 5.259 7.417 Å, 109.58 109.58 46.47°
Element x y z (fractional)
Th  0.143  0.143  0.271
Th  0.857  0.857  0.729
Zn  0.361  0.361  0.053
Zn  0.500  0.500  0.500
Zn  0.639  0.639  0.947
Ru  0.137  0.137  0.692
Ru  0.863  0.863  0.308

Properties
- N(E_F): 0.503 states/eV per atom
- DFT formation energy: -399.3 meV/atom


[2]
BaCuRh | PBE | optimized geometry

Cell: 5.929 5.929 5.929 Å, 145.14 145.14 50.13°
Element x y z (fractional)
Ba  0.000  0.000  0.000
Cu  0.277  0.277  0.000
Rh  0.720  0.720  0.000

Properties
- N(E_F): 0.544 states/eV per atom
- DFT formation energy: 97.3 meV/atom
- Polymorph energy (0 for the lowest one): 42.6 kJ/mol of formula units


[3]
PaIn2SbO8 | PBE | optimized geometry

Cell: 4.916 4.916 6.784 Å, 90.00 90.00 91.33°
Element x y z (fractional)
Pa  0.000  0.000  0.000
In  0.500  0.500  0.261
In  0.500  0.500  0.739
Sb  0.000  0.000  0.500
O  0.186  0.814  0.269
O  0.186  0.814  0.731
O  0.290  0.290  0.500
O  0.306  0.306  0.000
O  0.694  0.694  0.000
O  0.710  0.710  0.500
O  0.814  0.186  0.269
O  0.814  0.186  0.731

Properties
- N(E_F): 0.000 states/eV per atom
- Raw formation energy: -2086 meV per atom


| no. | magnetic moment (Bohr magnetons per cell) |
| --- | --- |
| 1 | 0.0 |
| 2 | 0.0 |
| 3 | 0.0 |